Computed, not measured: LiCaMg2Cu after structural relaxation at the PBE level of DFT.

POSCAR file:
```
LiCaMg2Cu
1.0
5.027 0.000 0.000
0.000 5.027 0.000
0.000 0.000 5.390
Ca Mg Cu Li
1 2 1 1
direct
0.000 0.000 0.500
0.000 0.500 0.000
0.500 0.000 0.000
0.000 0.000 0.000
0.500 0.500 0.500
```

Properties
* distance to the lowest polymorph of the same formula: 48 meV/atom
* space group: P4/mmm
* E: -0.079 Ha/atom